Compound: HfPtN2O
Source: Alexandria via LeMat-Bulk
Functional: PBE-GGA
Structure: optimized geometry

Lattice parameters (Å, degrees): 4.2522 4.2522 3.9325 90.00 90.00 90.00
Last column: nearest neighbours and their distance in Å.
Element x y z (fractional)
1 Hf 0.0000 0.0000 0.0000  2 O 1.97, 4 N 2.13
2 Pt 0.5000 0.5000 0.5000  8 N 2.90, 4 O 3.01
3 N 0.0000 0.5000 0.0000  2 Hf 2.13
4 N 0.5000 0.0000 0.0000  2 Hf 2.13
5 O 0.0000 0.0000 0.5000  2 Hf 1.97

## Properties
- Raw total energy: -36.0 eV per cell
- Space-group type: P4/mmm, No. 123